--- w ---
DFT (PBE-GGA) results for a relaxed structure of LiCu3Ni2.

Unit cell a=5.058 b=8.744 c=7.625 alpha=90.00 beta=90.00 gamma=125.26
Positions (direct):
1 Cu 0.253 0.625 0.253
2 Ni 0.256 0.877 0.419
3 Li 0.250 0.873 0.086
4 Cu 0.253 0.125 0.247
5 Cu 0.245 0.623 0.913
6 Cu 0.245 0.123 0.587
7 Li 0.250 0.373 0.414
8 Ni 0.244 0.875 0.748
9 Cu 0.755 0.877 0.413
10 Li 0.750 0.127 0.914
11 Ni 0.756 0.625 0.248
12 Ni 0.244 0.375 0.752
13 Cu 0.747 0.375 0.747
14 Cu 0.753 0.872 0.084
15 Ni 0.744 0.123 0.581
16 Li 0.750 0.627 0.586
17 Cu 0.247 0.628 0.584
18 Cu 0.753 0.372 0.416
19 Cu 0.247 0.128 0.916
20 Cu 0.755 0.377 0.087
21 Cu 0.747 0.875 0.753
22 Ni 0.744 0.623 0.919
23 Ni 0.256 0.377 0.081
24 Ni 0.756 0.125 0.252

--- x ---
DFT (PBE-GGA) results for a relaxed structure of LiCu3Ni2.

Unit cell a=5.034 b=5.034 c=6.905 alpha=68.62 beta=68.62 gamma=60.00
Positions (direct):
1 Li 0.224 0.224 0.328
2 Cu 0.277 0.277 0.670
3 Ni 0.500 0.500 0.000
4 Ni 0.000 0.500 0.000
5 Cu 0.224 0.723 0.330
6 Cu 0.776 0.277 0.670
7 Li 0.776 0.776 0.672
8 Cu 0.723 0.723 0.330
9 Ni 0.500 0.000 0.000
10 Cu 0.277 0.776 0.670
11 Cu 0.723 0.224 0.330
12 Ni 0.000 0.000 0.000

Quick look at relative energies in kJ/mol of atoms: w 1.5; x 0.0.